Entry 1:
The following is a PBE calculation of Li2YAl after structural relaxation, from the Alexandria database.

Summary:
total moment	0.33	Bohr magnetons per cell
energy of formation	-11	meV/atom
N(E_F)	5.18	states/eV per cell
SG	P4/mmm

a b c (Å): 4.7755 4.3339 4.3339
angles (deg): 90.00 90.00 90.00
Fractional positions:
Al (0.5000, 0.0000, 0.5000)
Li (0.0000, 0.0000, 0.0000)
Li (0.0000, 0.5000, 0.5000)
Y (0.5000, 0.5000, 0.0000)

Entry 2:
The following is a PBE calculation of TiCrTePS after structural relaxation, from the Alexandria database.

Summary:
ΔE to the lowest computed polymorph	76	meV per atom
total moment	3.27	Bohr magnetons per cell
N(E_F)	8.80	states/eV per cell
ΔE_f (raw)	-0.657	eV/atom
SG	Cm

a b c (Å): 9.2722 3.5391 6.1279
angles (deg): 90.00 102.84 90.00
Fractional positions:
Ti (0.9832, 0.0000, 0.2011)
Ti (0.9832, 0.5000, 0.7011)
Cr (0.7003, 0.0000, 0.7724)
Cr (0.7003, 0.5000, 0.2724)
Te (0.5012, 0.0000, 0.0393)
Te (0.5012, 0.5000, 0.5393)
P (0.8188, 0.0000, 0.4790)
P (0.8188, 0.5000, 0.9790)
S (0.1363, 0.0000, 0.5857)
S (0.1363, 0.5000, 0.0857)

Entry 3:
The following is a PBE calculation of CaNdO2 after structural relaxation, from the Alexandria database.

Summary:
ΔE to the lowest computed polymorph	0	meV per atom
total moment	0.00	Bohr magnetons per cell
N(E_F)	0.66	states/eV per cell
ΔE_f (raw)	-2.802	eV/atom
SG	R-3m

a b c (Å): 3.4565 3.4565 6.1774
angles (deg): 73.75 73.75 60.00
Fractional positions:
Ca (0.0000, 0.0000, 0.0000)
Nd (0.5000, 0.5000, 0.5000)
O (0.2549, 0.2549, 0.2352)
O (0.7451, 0.7451, 0.7648)

Entry 4:
The following is a PBE calculation of Nd3Ho2Tm3 after structural relaxation, from the Alexandria database.

Summary:
ΔE to the lowest computed polymorph	15	meV per atom
total moment	0.01	Bohr magnetons per cell
energy of formation	143	meV/atom
N(E_F)	29.14	states/eV per cell
SG	Cmcm

a b c (Å): 5.5076 6.5063 16.3052
angles (deg): 90.00 90.00 115.04
Fractional positions:
Nd (0.6157, 0.2313, 0.4476)
Nd (0.3843, 0.7687, 0.9476)
Nd (0.6157, 0.2313, 0.0524)
Nd (0.3843, 0.7687, 0.5524)
Nd (0.4621, 0.9243, 0.2500)
Nd (0.5379, 0.0757, 0.7500)
Ho (0.7751, 0.5502, 0.8668)
Ho (0.2249, 0.4498, 0.3668)
Ho (0.7751, 0.5502, 0.6332)
Ho (0.2249, 0.4498, 0.1332)
Tm (0.9204, 0.8408, 0.4120)
Tm (0.0796, 0.1592, 0.9120)
Tm (0.9204, 0.8408, 0.0880)
Tm (0.0796, 0.1592, 0.5880)
Tm (0.7425, 0.4850, 0.2500)
Tm (0.2575, 0.5150, 0.7500)

Entry 5:
The following is a PBE calculation of ZnAgP2S after structural relaxation, from the Alexandria database.

Summary:
ΔE to the lowest computed polymorph	0	meV per atom
total moment	0.75	Bohr magnetons per cell
N(E_F)	4.20	states/eV per cell
ΔE_f (raw)	0.908	eV/atom
SG	P4/mmm

a b c (Å): 4.6096 4.6096 4.8423
angles (deg): 90.00 90.00 90.00
Fractional positions:
P (0.0000, 0.5000, 0.0000)
P (0.5000, 0.0000, 0.0000)
Zn (0.0000, 0.0000, 0.0000)
S (0.0000, 0.0000, 0.5000)
Ag (0.5000, 0.5000, 0.5000)

Entry 6:
The following is a PBE calculation of Th5TcTe2 after structural relaxation, from the Alexandria database.

Summary:
total moment	0.00	Bohr magnetons per cell
N(E_F)	22.02	states/eV per cell
ΔE_f (raw)	-0.571	eV/atom
SG	Pbam

a b c (Å): 4.6037 8.1909 12.3247
angles (deg): 90.00 90.00 90.00
Fractional positions:
Th (0.0000, 0.0000, 0.5000)
Th (0.0000, 0.5000, 0.0000)
Th (0.0000, 0.8615, 0.2054)
Th (0.0000, 0.1385, 0.7946)
Th (0.0000, 0.6385, 0.7054)
Th (0.0000, 0.3615, 0.2946)
Th (0.5000, 0.6955, 0.4339)
Th (0.5000, 0.3045, 0.5661)
Th (0.5000, 0.8045, 0.9339)
Th (0.5000, 0.1955, 0.0661)
Tc (0.0000, 0.5000, 0.5000)
Tc (0.0000, 0.0000, 0.0000)
Te (0.5000, 0.5841, 0.1746)
Te (0.5000, 0.4159, 0.8254)
Te (0.5000, 0.9159, 0.6746)
Te (0.5000, 0.0841, 0.3253)

Entry 7:
The following is a PBE calculation of KGa after structural relaxation, from the Alexandria database.

Summary:
ΔE to the lowest computed polymorph	76	meV per atom
total moment	0.00	Bohr magnetons per cell
energy of formation	-29	meV/atom
N(E_F)	6.11	states/eV per cell
SG	I4/mmm

a b c (Å): 12.7925 12.7925 4.4967
angles (deg): 90.00 90.00 90.00
Fractional positions:
K (0.4999, 0.7527, 0.0000)
K (0.5001, 0.2473, 0.0000)
K (0.2473, 0.4999, 0.0000)
K (0.7527, 0.5001, 0.0000)
K (0.9999, 0.2527, 0.5000)
K (0.0001, 0.7473, 0.5000)
K (0.7473, 0.9999, 0.5000)
K (0.2527, 0.0001, 0.5000)
Ga (0.2226, 0.2222, 0.0000)
Ga (0.7774, 0.7778, 0.0000)
Ga (0.7778, 0.2226, 0.0000)
Ga (0.2222, 0.7774, 0.0000)
Ga (0.7226, 0.7222, 0.5000)
Ga (0.2774, 0.2778, 0.5000)
Ga (0.2778, 0.7226, 0.5000)
Ga (0.7222, 0.2774, 0.5000)

Entry 8:
The following is a PBE calculation of TlNiW2 after structural relaxation, from the Alexandria database.

Summary:
ΔE to the lowest computed polymorph	23	meV per atom
total moment	0.00	Bohr magnetons per cell
energy of formation	514	meV/atom
N(E_F)	3.00	states/eV per cell
SG	P4mm

a b c (Å): 3.2459 3.2459 6.3979
angles (deg): 90.00 90.00 90.00
Fractional positions:
Ni (0.0000, 0.0000, 0.4770)
Tl (0.5000, 0.5000, 0.7265)
W (0.0000, 0.0000, 0.0444)
W (0.5000, 0.5000, 0.2521)

Entry 9:
The following is a PBE calculation of Tl2Pb5Au4 after structural relaxation, from the Alexandria database.

Summary:
total moment	0.00	Bohr magnetons per cell
energy of formation	7	meV/atom
N(E_F)	3.38	states/eV per cell
SG	C2/m

a b c (Å): 3.6761 8.1365 10.4145
angles (deg): 94.39 100.17 90.00
Fractional positions:
Tl (0.4375, 0.3670, 0.8749)
Tl (0.5625, 0.6330, 0.1251)
Pb (0.8192, 0.5420, 0.6384)
Pb (0.1808, 0.4580, 0.3616)
Pb (0.8346, 0.9806, 0.6693)
Pb (0.5000, 0.0000, 0.0000)
Pb (0.1654, 0.0194, 0.3307)
Au (0.2915, 0.2390, 0.5830)
Au (0.9471, 0.7245, 0.8941)
Au (0.7085, 0.7610, 0.4170)
Au (0.0529, 0.2755, 0.1059)

Entry 10:
The following is a PBE calculation of Rb2MnHgSe4 after structural relaxation, from the Alexandria database.

Summary:
total moment	6.00	Bohr magnetons per cell
N(E_F)	5.19	states/eV per cell
ΔE_f (raw)	-0.637	eV/atom
SG	Fddd

a b c (Å): 6.1911 7.7148 12.3176
angles (deg): 84.21 75.44 66.34
Fractional positions:
Rb (0.1830, 0.0000, 0.6339)
Rb (0.8170, 0.0000, 0.3661)
Rb (0.5670, 0.5000, 0.8661)
Rb (0.9330, 0.5000, 0.1339)
Mn (0.2500, 0.5000, 0.5000)
Mn (0.5000, 0.0000, 0.0000)
Hg (0.7500, 0.5000, 0.5000)
Hg (0.0000, 0.0000, 0.0000)
Se (0.3290, 0.8045, 0.1212)
Se (0.2547, 0.1955, 0.8788)
Se (0.8665, 0.8045, 0.8788)
Se (0.5498, 0.1955, 0.1212)
Se (0.4210, 0.6955, 0.3788)
Se (0.4953, 0.3045, 0.6212)
Se (0.8835, 0.6955, 0.6212)
Se (0.2002, 0.3045, 0.3788)

Entry 11:
The following is a PBE calculation of Tb2BeAl3Pt4 after structural relaxation, from the Alexandria database.

Summary:
total moment	0.00	Bohr magnetons per cell
energy of formation	-1028	meV/atom
N(E_F)	7.07	states/eV per cell
SG	P-4m2

a b c (Å): 4.1132 4.1132 10.5844
angles (deg): 90.00 90.00 90.00
Fractional positions:
Tb (0.5000, 0.0000, 0.2606)
Tb (0.0000, 0.5000, 0.7394)
Be (0.5000, 0.5000, 0.5000)
Al (0.0000, 0.0000, 0.5000)
Al (0.5000, 0.0000, 0.8637)
Al (0.0000, 0.5000, 0.1363)
Pt (0.5000, 0.5000, 0.0000)
Pt (0.0000, 0.0000, 0.0000)
Pt (0.5000, 0.0000, 0.6292)
Pt (0.0000, 0.5000, 0.3708)

Entry 12:
The following is a PBE calculation of LiYCo4 after structural relaxation, from the Alexandria database.

Summary:
total moment	5.05	Bohr magnetons per cell
energy of formation	-63	meV/atom
N(E_F)	8.25	states/eV per cell
SG	F-43m

a b c (Å): 4.9249 4.9249 4.9249
angles (deg): 60.00 60.00 60.00
Fractional positions:
Co (0.1268, 0.6244, 0.6244)
Co (0.6244, 0.6244, 0.6244)
Co (0.6244, 0.1268, 0.6244)
Co (0.6244, 0.6244, 0.1268)
Li (0.2500, 0.2500, 0.2500)
Y (0.0000, 0.0000, 0.0000)

Entry 13:
The following is a PBE calculation of BaAgS2O8 after structural relaxation, from the Alexandria database.

Summary:
total moment	1.00	Bohr magnetons per cell
N(E_F)	6.16	states/eV per cell
ΔE_f (raw)	-1.535	eV/atom
SG	R-3

a b c (Å): 5.0868 5.0868 8.2146
angles (deg): 71.96 71.96 60.00
Fractional positions:
Ba (0.5000, 0.5000, 0.5000)
Ag (0.0000, 0.0000, 0.0000)
S (0.2517, 0.2517, 0.2450)
S (0.7483, 0.7483, 0.7550)
O (0.1865, 0.1865, 0.4406)
O (0.5432, 0.2861, 0.1846)
O (0.8135, 0.8135, 0.5594)
O (0.9861, 0.5432, 0.1846)
O (0.0139, 0.4568, 0.8154)
O (0.2861, 0.9861, 0.1846)
O (0.7139, 0.0139, 0.8154)
O (0.4568, 0.7139, 0.8154)

Entry 14:
The following is a PBE calculation of Na2ScTeF after structural relaxation, from the Alexandria database.

Summary:
total moment	1.27	Bohr magnetons per cell
N(E_F)	2.94	states/eV per cell
ΔE_f (raw)	-1.171	eV/atom
SG	P4/mmm

a b c (Å): 4.2558 6.9606 4.2558
angles (deg): 90.00 90.00 90.00
Fractional positions:
Sc (0.5000, 0.5000, 0.5000)
Na (0.0000, 0.0000, 0.5000)
Na (0.5000, 0.0000, 0.0000)
Te (0.0000, 0.5000, 0.0000)
F (0.0000, 0.0000, 0.0000)

Entry 15:
The following is a PBE calculation of UInTe2 after structural relaxation, from the Alexandria database.

Summary:
total moment	2.89	Bohr magnetons per cell
N(E_F)	7.09	states/eV per cell
ΔE_f (raw)	-0.435	eV/atom
SG	P4/mmm

a b c (Å): 3.8501 3.8501 7.7576
angles (deg): 90.00 90.00 90.00
Fractional positions:
Te (0.0000, 0.0000, 0.7779)
Te (0.0000, 0.0000, 0.2221)
U (0.5000, 0.5000, 0.0000)
In (0.5000, 0.5000, 0.5000)

Entry 16:
The following is a PBE calculation of Tc2AgW after structural relaxation, from the Alexandria database.

Summary:
ΔE to the lowest computed polymorph	13	meV per atom
total moment	0.00	Bohr magnetons per cell
energy of formation	307	meV/atom
N(E_F)	3.47	states/eV per cell
SG	Cmmm

a b c (Å): 2.7165 2.7165 9.1829
angles (deg): 90.00 90.00 109.60
Fractional positions:
Ag (0.5000, 0.5000, 0.7500)
Tc (0.0000, 0.0000, 0.0165)
Tc (0.0000, 0.0000, 0.4835)
W (0.5000, 0.5000, 0.2500)

Entry 17:
The following is a PBE calculation of SmNpPt2 after structural relaxation, from the Alexandria database.

Summary:
ΔE to the lowest computed polymorph	1	meV per atom
total moment	4.19	Bohr magnetons per cell
energy of formation	-734	meV/atom
N(E_F)	8.86	states/eV per cell
SG	P4/mmm

a b c (Å): 3.4449 5.0516 5.0516
angles (deg): 90.00 90.00 90.00
Fractional positions:
Np (0.5000, 0.5000, 0.5000)
Sm (0.5000, 0.0000, 0.0000)
Pt (0.0000, 0.0000, 0.5000)
Pt (0.0000, 0.5000, 0.0000)

Entry 18:
The following is a PBE calculation of HoInHgPb after structural relaxation, from the Alexandria database.

Summary:
ΔE to the lowest computed polymorph	0	meV per atom
total moment	0.00	Bohr magnetons per cell
energy of formation	-344	meV/atom
N(E_F)	1.07	states/eV per cell
SG	Pmmm

a b c (Å): 4.6132 4.6211 4.8168
angles (deg): 90.00 90.00 90.00
Fractional positions:
Ho (0.5000, 0.5000, 0.0000)
In (0.0000, 0.5000, 0.5000)
Hg (0.5000, 0.0000, 0.5000)
Pb (0.0000, 0.0000, 0.0000)

Entry 19:
The following is a PBE calculation of NaBe3I after structural relaxation, from the Alexandria database.

Summary:
ΔE to the lowest computed polymorph	165	meV per atom
total moment	0.00	Bohr magnetons per cell
N(E_F)	3.39	states/eV per cell
ΔE_f (raw)	1.700	eV/atom
SG	Pm-3m

a b c (Å): 5.1483 5.1483 5.1483
angles (deg): 90.00 90.00 90.00
Fractional positions:
I (0.5000, 0.5000, 0.5000)
Na (0.0000, 0.0000, 0.0000)
Be (0.0000, 0.5000, 0.0000)
Be (0.0000, 0.0000, 0.5000)
Be (0.5000, 0.0000, 0.0000)

Entry 20:
The following is a PBE calculation of CaPaAg2 after structural relaxation, from the Alexandria database.

Summary:
total moment	1.25	Bohr magnetons per cell
energy of formation	52	meV/atom
N(E_F)	6.65	states/eV per cell
SG	P4/mmm

a b c (Å): 3.3794 3.3794 8.3680
angles (deg): 90.00 90.00 90.00
Fractional positions:
Ca (0.5000, 0.5000, 0.5000)
Pa (0.5000, 0.5000, 0.0000)
Ag (0.0000, 0.0000, 0.7503)
Ag (0.0000, 0.0000, 0.2497)